Entry 1:
DFT (PBE) results for a relaxed Cs2SnH6Pb crystal.

Computed properties:
DFT total energy ... -28.83 eV per cell

Cell lengths 6.4140, 6.4140, 6.3925 Å; angles 60.21, 60.21, 90.55 degrees
Closest atoms and distances in Å follow each position.
Positions (direct):
Pb: 0.0000 0.0000 0.0000  6 H 2.42-2.45
Sn: 0.5000 0.5000 0.0000  6 H 2.09-2.10
H: 0.2689 0.2689 0.4620  1 Sn 2.09
H: 0.2692 0.7309 0.0000  1 Sn 2.10
H: 0.7308 0.2691 0.0000  1 Sn 2.10
H: 0.7311 0.7311 0.5380  1 Sn 2.09
H: 0.2683 0.2683 0.0000  1 Sn 2.09
H: 0.7317 0.7317 0.0000  1 Sn 2.09
Cs: 0.2496 0.7504 0.5000  12 H 3.20-3.22
Cs: 0.7504 0.2496 0.5000  12 H 3.20-3.22



Entry 2:
DFT (PBE) results for a relaxed K2Se crystal.

Computed properties:
Uncorrected formation energy ... -0.942 eV per atom

Cell lengths 5.2309, 5.2309, 4.2620 Å; angles 90.00, 90.00, 90.00 degrees
Closest atoms and distances in Å follow each position.
Positions (direct):
K: 0.5000 0.0000 0.5000  4 Se 3.37, 4 K 3.70
K: 0.0000 0.5000 0.5000  4 Se 3.37, 4 K 3.70
Se: 0.0000 0.0000 0.0000  8 K 3.37



Entry 3:
DFT (PBE) results for a relaxed Ba2NaHgN crystal.

Computed properties:
Uncorrected formation energy ... -0.226 eV per atom

Cell lengths 5.6460, 5.6460, 4.8947 Å; angles 90.00, 90.00, 90.00 degrees
Closest atoms and distances in Å follow each position.
Positions (direct):
N: 0.0000 0.0000 0.0000  2 Na 2.45
Hg: 0.5000 0.5000 0.5000  8 Ba 3.74, 4 Na 3.99
Na: 0.0000 0.0000 0.5000  2 N 2.45
Ba: 0.5000 0.0000 0.0000  2 N 2.82
Ba: 0.0000 0.5000 0.0000  2 N 2.82



Entry 4:
DFT (PBE) results for a relaxed Sc2ReH crystal.

Computed properties:
Distance to the lowest polymorph of the same formula ... 8.8 kJ per mole of atoms

Cell lengths 8.0675, 8.0675, 8.0675 Å; angles 23.16, 23.16, 23.16 degrees
Closest atoms and distances in Å follow each position.
Positions (direct):
Re: 0.5000 0.5000 0.5000  6 Sc 2.70
Sc: 0.0837 0.0837 0.0837  1 H 1.97
Sc: 0.9163 0.9163 0.9163  1 H 1.97
H: 0.0000 0.0000 0.0000  2 Sc 1.97



Entry 5:
DFT (PBE) results for a relaxed LiLaNdFe crystal.

Computed properties:
ΔH_f (0 K) ... 0.184 eV/atom

Cell lengths 5.0991, 5.0991, 5.0991 Å; angles 60.00, 60.00, 60.00 degrees
Closest atoms and distances in Å follow each position.
Positions (direct):
Fe: 0.2500 0.2500 0.2500  4 La 3.12, 4 Nd 3.12
Li: 0.7500 0.7500 0.7500  4 La 3.12, 4 Nd 3.12
La: 0.0000 0.0000 0.0000  4 Fe 3.12, 4 Li 3.12
Nd: 0.5000 0.5000 0.5000  4 Fe 3.12, 4 Li 3.12



Entry 6:
DFT (PBE) results for a relaxed SmY5Sc2 crystal.

Computed properties:
ΔH_f (0 K) ... 0.037 eV/atom
Distance to the lowest polymorph of the same formula ... 0.0 kJ per mole of atoms

Cell lengths 7.0705, 12.1580, 11.3205 Å; angles 90.00, 90.00, 90.00 degrees
Closest atoms and distances in Å follow each position.
Positions (direct):
Y: 0.2460 0.0000 0.0000  8 Y 3.48-3.59, 2 Sc 3.51, 2 Sm 3.53
Y: 0.5000 0.7542 0.5001  2 Sm 3.43-3.58, 8 Y 3.48-3.57, 2 Sc 3.50
Y: 0.7543 0.6671 0.7511  7 Y 3.45-3.60, 3 Sc 3.47-3.51, 2 Sm 3.50-3.56
Y: 0.7540 0.0000 0.0000  8 Y 3.48-3.59, 2 Sc 3.51, 2 Sm 3.53
Y: 0.2457 0.3329 0.2489  7 Y 3.45-3.60, 3 Sc 3.47-3.51, 2 Sm 3.50-3.56
Y: 0.7543 0.3329 0.2489  7 Y 3.45-3.60, 3 Sc 3.47-3.51, 2 Sm 3.50-3.56
Y: 0.0000 0.7550 0.5010  4 Sc 3.40-3.57, 8 Y 3.45-3.56
Y: 0.2457 0.1671 0.7489  7 Y 3.45-3.60, 3 Sc 3.47-3.51, 2 Sm 3.50-3.56
Y: 0.5000 0.7458 0.0001  2 Sm 3.43-3.58, 8 Y 3.48-3.57, 2 Sc 3.50
Y: 0.5000 0.2542 0.9999  2 Sm 3.43-3.58, 8 Y 3.48-3.57, 2 Sc 3.50
Y: 0.0000 0.2450 0.4990  4 Sc 3.40-3.57, 8 Y 3.45-3.56
Y: 0.7540 0.5000 0.5000  8 Y 3.48-3.59, 2 Sc 3.51, 2 Sm 3.53
Y: 0.0000 0.7450 0.0010  4 Sc 3.40-3.57, 8 Y 3.45-3.56
Y: 0.7543 0.8329 0.2511  7 Y 3.45-3.60, 3 Sc 3.47-3.51, 2 Sm 3.50-3.56
Y: 0.2460 0.5000 0.5000  8 Y 3.48-3.59, 2 Sc 3.51, 2 Sm 3.53
Y: 0.2457 0.8329 0.2511  7 Y 3.45-3.60, 3 Sc 3.47-3.51, 2 Sm 3.50-3.56
Y: 0.5000 0.2458 0.4999  2 Sm 3.43-3.58, 8 Y 3.48-3.57, 2 Sc 3.50
Y: 0.2457 0.6671 0.7511  7 Y 3.45-3.60, 3 Sc 3.47-3.51, 2 Sm 3.50-3.56
Y: 0.0000 0.2550 0.9990  4 Sc 3.40-3.57, 8 Y 3.45-3.56
Y: 0.7543 0.1671 0.7489  7 Y 3.45-3.60, 3 Sc 3.47-3.51, 2 Sm 3.50-3.56
Sc: 0.2431 0.0000 0.5000  4 Sc 3.42-3.63, 6 Y 3.44-3.50, 2 Sm 3.46
Sc: 0.0000 0.4175 0.7545  8 Y 3.40-3.57, 2 Sc 3.42, 2 Sm 3.54
Sc: 0.0000 0.0825 0.2545  8 Y 3.40-3.57, 2 Sc 3.42, 2 Sm 3.54
Sc: 0.7569 0.5000 0.0000  4 Sc 3.42-3.63, 6 Y 3.44-3.50, 2 Sm 3.46
Sc: 0.0000 0.9175 0.7455  8 Y 3.40-3.57, 2 Sc 3.42, 2 Sm 3.54
Sc: 0.0000 0.5825 0.2455  8 Y 3.40-3.57, 2 Sc 3.42, 2 Sm 3.54
Sc: 0.2431 0.5000 0.0000  4 Sc 3.42-3.63, 6 Y 3.44-3.50, 2 Sm 3.46
Sc: 0.7569 0.0000 0.5000  4 Sc 3.42-3.63, 6 Y 3.44-3.50, 2 Sm 3.46
Sm: 0.5000 0.4202 0.7544  8 Y 3.43-3.58, 4 Sc 3.46-3.54
Sm: 0.5000 0.0798 0.2544  8 Y 3.43-3.58, 4 Sc 3.46-3.54
Sm: 0.5000 0.5798 0.2456  8 Y 3.43-3.58, 4 Sc 3.46-3.54
Sm: 0.5000 0.9202 0.7456  8 Y 3.43-3.58, 4 Sc 3.46-3.54



Entry 7:
DFT (PBE) results for a relaxed TbPm2Nd6 crystal.

Computed properties:
ΔH_f (0 K) ... 0.129 eV/atom
Distance to the lowest polymorph of the same formula ... 4.8 kJ per mole of atoms

Cell lengths 3.6718, 10.1790, 10.1790 Å; angles 55.84, 90.00, 90.00 degrees
Closest atoms and distances in Å follow each position.
Positions (direct):
Nd: 0.5000 0.3165 0.6835  7 Nd 3.48-3.67, 2 Tb 3.53
Nd: 0.0000 0.8395 0.4886  6 Nd 3.34-3.67, 2 Pm 3.61
Nd: 0.0000 0.4886 0.8395  6 Nd 3.34-3.67, 2 Pm 3.61
Nd: 0.5000 0.6835 0.3165  7 Nd 3.48-3.67, 2 Tb 3.53
Nd: 0.0000 0.5114 0.1605  6 Nd 3.34-3.67, 2 Pm 3.61
Nd: 0.0000 0.1605 0.5114  6 Nd 3.34-3.67, 2 Pm 3.61
Pm: 0.5000 0.1778 0.1778  8 Nd 3.61-3.78, 2 Pm 3.67, 2 Tb 3.69
Pm: 0.5000 0.8222 0.8222  8 Nd 3.61-3.78, 2 Pm 3.67, 2 Tb 3.69
Tb: 0.0000 0.0000 0.0000  4 Nd 3.53, 2 Tb 3.67, 4 Pm 3.69



Entry 8:
DFT (PBE) results for a relaxed ZrSc2Br crystal.

Computed properties:
Uncorrected formation energy ... -0.186 eV per atom
Distance to the lowest polymorph of the same formula ... 26.4 kJ per mole of atoms

Cell lengths 5.7182, 5.7182, 5.4423 Å; angles 72.06, 72.06, 33.43 degrees
Closest atoms and distances in Å follow each position.
Positions (direct):
Br: 0.2232 0.2232 0.1786  5 Sc 2.91-3.14, 2 Zr 2.93
Sc: 0.7708 0.7708 0.7163  2 Br 2.91, 3 Zr 3.11-3.12
Sc: 0.9801 0.9801 0.0608  3 Br 2.93-3.14, 4 Zr 3.15-3.28
Zr: 0.5260 0.5260 0.5442  2 Br 2.93, 7 Sc 3.11-3.28



Entry 9:
DFT (PBE) results for a relaxed KSb2Mo crystal.

Computed properties:
Uncorrected formation energy ... 0.334 eV per atom
Distance to the lowest polymorph of the same formula ... 40.4 kJ per mole of atoms

Cell lengths 6.5567, 6.5567, 6.5567 Å; angles 151.05, 117.14, 70.66 degrees
Closest atoms and distances in Å follow each position.
Positions (direct):
Sb: 0.4499 0.4499 0.0000  2 Mo 2.69
Sb: 0.0501 0.0501 0.0000  2 Mo 2.69
K: 0.7500 0.2500 0.5000  2 K 3.28, 4 Sb 3.60
Mo: 0.2500 0.7500 0.5000  4 Sb 2.69



Entry 10:
DFT (PBE) results for a relaxed Si2PRu crystal.

Computed properties:
Uncorrected formation energy ... 0.057 eV per atom

Cell lengths 2.8709, 2.8709, 6.7439 Å; angles 90.00, 90.00, 90.00 degrees
Closest atoms and distances in Å follow each position.
Positions (direct):
P: 0.5000 0.5000 0.2500  8 Si 2.75, 4 P 2.87
Ru: 0.5000 0.5000 0.7500  8 Si 2.54
Si: 0.0000 0.0000 0.9756  4 Ru 2.54, 4 P 2.75
Si: 0.0000 0.0000 0.5244  4 Ru 2.54, 4 P 2.75



Entry 11:
DFT (PBE) results for a relaxed LiCdN crystal.

Computed properties:
Uncorrected formation energy ... 0.054 eV per atom

Cell lengths 11.3716, 11.3716, 11.3716 Å; angles 24.40, 24.40, 24.40 degrees
Closest atoms and distances in Å follow each position.
Positions (direct):
Li: 0.5399 0.5399 0.5399  1 Li 2.64
Li: 0.4601 0.4601 0.4601  1 Li 2.64
N: 0.9832 0.9832 0.9832  1 N 1.11
N: 0.0168 0.0168 0.0168  1 N 1.11
Cd: 0.1668 0.1668 0.1668  3 Cd 2.77, 6 Li 3.07
Cd: 0.8332 0.8332 0.8332  3 Cd 2.77, 6 Li 3.07



Entry 12:
DFT (PBE) results for a relaxed Ac6Ge2TeS3 crystal.

Computed properties:
Uncorrected formation energy ... -1.529 eV per atom

Cell lengths 4.5227, 8.9815, 10.0020 Å; angles 101.44, 103.07, 90.00 degrees
Closest atoms and distances in Å follow each position.
Positions (direct):
Ac: 0.9983 0.7293 0.9966  3 S 3.06-3.18, 1 Ge 3.12, 2 Te 3.32
Ac: 0.3262 0.9076 0.6523  3 S 3.09-3.21, 2 Ge 3.14, 1 Te 3.32
Ac: 0.6677 0.5822 0.3354  3 Ge 3.19, 3 S 3.20-3.22
Ac: 0.6738 0.0924 0.3477  3 S 3.09-3.21, 2 Ge 3.14, 1 Te 3.32
Ac: 0.0017 0.2707 0.0034  3 S 3.06-3.18, 1 Ge 3.12, 2 Te 3.32
Ac: 0.3323 0.4178 0.6646  3 Ge 3.19, 3 S 3.20-3.22
S: 0.8356 0.1645 0.6713  6 Ac 3.09-3.22
S: 0.1644 0.8355 0.3287  6 Ac 3.09-3.22
S: 0.5000 0.5000 0.0000  6 Ac 3.06-3.20
Ge: 0.8346 0.6689 0.6692  6 Ac 3.12-3.19
Ge: 0.1654 0.3311 0.3308  6 Ac 3.12-3.19
Te: 0.5000 0.0000 0.0000  6 Ac 3.32



| no. | size of the total moment (μB per atom) | D(E_F) (states/eV per cell) | mass density (g cm⁻³) |
| --- | --- | --- | --- |
| 1 | 0.0000 | 2.1 | 5.33 |
| 2 | 0.0000 | 0.1 | 2.24 |
| 3 | 0.0001 | 3.5 | 5.45 |
| 4 | 0.0001 | 2.3 | 6.46 |
| 5 | 0.2180 | 4.6 | 6.13 |
| 6 | 0.0000 | 50.5 | 4.67 |
| 7 | 0.0000 | 13.5 | 6.93 |
| 8 | 0.0000 | 5.3 | 4.67 |
| 9 | 0.2359 | 2.3 | 5.24 |
| 10 | 0.0000 | 2.2 | 5.62 |
| 11 | 0.0000 | 1.2 | 2.01 |
| 12 | 0.0000 | 4.0 | 7.42 |